Material: PrSm3Y12
Method: DFT, GGA-PBE
State: optimized geometry

Summary:
Density ... 5.26 g cm⁻³
Volume ... 523.74 Å³/cell
Symmetry ... P4/mmm, No. 123
Calculated formation energy ... 34 kJ/mol of formula units
Uncorrected energy ... -6.01 eV/atom
Size of the total moment ... 0.0 μB/cell
Fermi-level density of states ... 23.7 states/eV per cell

Lattice parameters (Å, degrees): 5.0769 5.0769 20.3198 90.00 90.00 90.00
Closest atoms and distances in Å follow each position.
Positions (direct):
Pr: 0.0000 0.0000 0.0000  12 Y 3.59-3.61
Sm: 0.0000 0.0000 0.2505  12 Y 3.58-3.59
Sm: 0.0000 0.0000 0.5000  12 Y 3.59
Sm: 0.0000 0.0000 0.7495  12 Y 3.58-3.59
Y: 0.5000 0.5000 0.0000  4 Pr 3.59, 8 Y 3.61
Y: 0.5000 0.5000 0.2508  8 Y 3.58-3.59, 4 Sm 3.59
Y: 0.5000 0.5000 0.5000  8 Y 3.59, 4 Sm 3.59
Y: 0.5000 0.5000 0.7492  8 Y 3.58-3.59, 4 Sm 3.59
Y: 0.5000 0.0000 0.1260  2 Sm 3.58, 8 Y 3.59-3.61, 2 Pr 3.61
Y: 0.5000 0.0000 0.3753  8 Y 3.58-3.59, 4 Sm 3.59
Y: 0.5000 0.0000 0.6247  8 Y 3.58-3.59, 4 Sm 3.59
Y: 0.5000 0.0000 0.8740  2 Sm 3.58, 8 Y 3.59-3.61, 2 Pr 3.61
Y: 0.0000 0.5000 0.1260  2 Sm 3.58, 8 Y 3.59-3.61, 2 Pr 3.61
Y: 0.0000 0.5000 0.3753  8 Y 3.58-3.59, 4 Sm 3.59
Y: 0.0000 0.5000 0.6247  8 Y 3.58-3.59, 4 Sm 3.59
Y: 0.0000 0.5000 0.8740  2 Sm 3.58, 8 Y 3.59-3.61, 2 Pr 3.61